(1)
# Cd2FeAs

Crystalline Cd2FeAs at its relaxed geometry (PBE, Alexandria).

Values from the calculation:
E_form: 4.30 kcal/mol of atoms

Cell: 3.0905 4.2686 6.3321 Å, 70.62 90.00 90.00°
With the nearest neighbours (Å) after each atom.
Positions (direct):
1 As 0.5000 0.5647 0.7426  2 Fe 2.32
2 Cd 0.0000 0.9411 0.9923  1 Fe 2.75, 4 As 3.03
3 Cd 0.5000 0.2811 0.3133  4 Fe 2.76, 2 Cd 3.09
4 Fe 0.0000 0.7132 0.4518  2 As 2.32

***

(2)
# PuNpSbIr

Crystalline PuNpSbIr at its relaxed geometry (PBE, Alexandria).

Values from the calculation:
ΔE_f (raw): -0.10 eV/atom

Cell: 4.9602 4.9602 4.9602 Å, 60.00 60.00 60.00°
With the nearest neighbours (Å) after each atom.
Positions (direct):
1 Np 0.5000 0.5000 0.5000  4 Pu 3.04, 4 Sb 3.04
2 Sb 0.2500 0.2500 0.2500  4 Np 3.04, 4 Ir 3.04
3 Ir 0.0000 0.0000 0.0000  4 Sb 3.04, 4 Pu 3.04
4 Pu 0.7500 0.7500 0.7500  4 Ir 3.04, 4 Np 3.04

***

(3)
# Zn2GaAuCl

Crystalline Zn2GaAuCl at its relaxed geometry (PBE, Alexandria).

Values from the calculation:
ΔE_f (raw): 0.62 eV/atom

Cell: 5.2159 4.9025 5.2159 Å, 90.00 90.00 90.00°
With the nearest neighbours (Å) after each atom.
Positions (direct):
1 Zn 0.0000 0.0000 0.5000  2 Cl 2.61
2 Zn 0.5000 0.0000 0.0000  2 Cl 2.61
3 Au 0.0000 0.5000 0.0000  2 Cl 2.45
4 Ga 0.5000 0.5000 0.5000  8 Zn 3.58, 4 Au 3.69
5 Cl 0.0000 0.0000 0.0000  2 Au 2.45, 4 Zn 2.61

***

(4)
# MnP2Pb

Crystalline MnP2Pb at its relaxed geometry (PBE, Alexandria).

Values from the calculation:
E_form: 6.67 kcal/mol of atoms

Cell: 7.1892 7.1892 7.1892 Å, 28.32 28.32 28.32°
With the nearest neighbours (Å) after each atom.
Positions (direct):
1 Mn 0.7309 0.7309 0.7309  3 P 2.44
2 P 0.9990 0.9990 0.9990  3 P 2.39, 3 Mn 2.44
3 P 0.2715 0.2715 0.2715  3 P 2.39
4 Pb 0.4986 0.4986 0.4986  3 Mn 2.91, 3 P 2.99